Entry 1:
A relaxed structure of K3Ge5H12, computed with PBE-GGA.

Cell and atoms, written as extended XYZ:
```
80
Lattice="-6.761 6.761 6.761 6.761 -6.761 6.761 6.761 6.761 -6.761" Properties=species:S:1:pos:R:3 pbc="T T T"
K 3.380 1.690 0.000
K 6.761 3.380 -1.690
K 1.690 0.000 3.380
K 8.451 0.000 3.380
K 0.000 3.380 1.690
K 3.380 -1.690 6.761
K 3.380 8.451 0.000
K 6.761 3.380 5.071
K -1.690 6.761 3.380
K 5.071 6.761 3.380
K 0.000 3.380 8.451
K 3.380 5.071 6.761
Ge 0.000 0.000 0.000
Ge 3.380 3.380 -3.380
Ge 3.380 -3.380 3.380
Ge 6.761 0.000 0.000
Ge 10.141 1.690 0.000
Ge 6.761 -3.380 5.071
Ge 5.071 6.761 -3.380
Ge 5.071 0.000 3.380
Ge 3.380 5.071 0.000
Ge 6.761 3.380 1.690
Ge -3.380 3.380 3.380
Ge 0.000 6.761 0.000
Ge 0.000 0.000 6.761
Ge 3.380 3.380 3.380
Ge 0.000 3.380 5.071
Ge 3.380 1.690 6.761
Ge 1.690 6.761 3.380
Ge 1.690 0.000 10.141
Ge 0.000 10.141 1.690
Ge -3.380 5.071 6.761
H 5.382 -3.633 4.129
H 11.519 0.748 -0.252
H 8.763 0.748 0.252
H 8.139 -3.128 4.129
H 9.889 2.632 -1.378
H 7.013 -4.759 6.012
H 4.129 5.382 -3.633
H 6.012 -0.252 2.002
H 6.012 7.013 -4.759
H 4.129 -1.378 3.633
H 3.633 4.129 -1.378
H 6.508 2.002 0.748
H 10.393 2.632 1.378
H 6.508 -2.002 6.012
H 6.012 6.508 -2.002
H 4.129 1.378 3.128
H 4.129 8.139 -3.128
H 6.012 0.252 4.759
H 3.128 4.129 1.378
H 7.013 4.759 0.748
H 2.002 6.012 -0.252
H 8.139 3.128 2.632
H 4.759 6.012 0.252
H 5.382 3.633 2.632
H 1.378 3.128 4.129
H 2.002 0.748 6.508
H -1.378 3.633 4.129
H 4.759 0.748 7.013
H -0.252 2.002 6.012
H 3.633 2.632 5.382
H 0.748 6.508 2.002
H 2.632 -1.378 9.889
H 2.632 5.382 3.633
H 0.748 0.252 8.763
H 0.252 8.763 0.748
H -3.633 4.129 5.382
H 0.252 4.759 6.012
H 3.128 2.632 8.139
H 2.632 8.139 3.128
H 0.748 -0.252 11.519
H 0.748 7.013 4.759
H 2.632 1.378 10.393
H -0.252 11.519 0.748
H -3.128 4.129 8.139
H -1.378 9.889 2.632
H -2.002 6.012 6.508
H -4.759 6.012 7.013
H 1.378 10.393 2.632
```

Computed properties:
Space group   No. 230
Density of states at the Fermi level   0.247 states/eV per atom
Total DFT energy (no corrections)   -62.13 eV/f.u.

***

Entry 2:
A relaxed structure of K2GeH, computed with PBE-GGA.

Cell and atoms, written as extended XYZ:
```
4
Lattice="0.000 4.004 4.004 4.004 0.000 4.004 4.004 4.004 0.000" Properties=species:S:1:pos:R:3 pbc="T T T"
K 2.002 2.002 2.002
K 6.006 6.006 6.006
Ge 0.000 0.000 0.000
H 4.004 4.004 4.004
```

Computed properties:
Space group   No. 225
Density of states at the Fermi level   0.282 states/eV per atom
Distance to the lowest polymorph of the same formula   11.4 kJ/mol of atoms

***

Entry 3:
A relaxed structure of KGeH3, computed with PBE-GGA.

Cell and atoms, written as extended XYZ:
```
5
Lattice="4.043 0.000 0.000 0.000 4.043 0.000 0.000 0.000 4.043" Properties=species:S:1:pos:R:3 pbc="T T T"
K 0.000 0.000 0.000
Ge 2.022 2.022 2.022
H 0.000 2.022 2.022
H 2.022 0.000 2.022
H 2.022 2.022 0.000
```

Computed properties:
Space group   No. 221
Density of states at the Fermi level   0.087 states/eV per atom
Distance to the lowest polymorph of the same formula   22.8 kJ/mol of atoms

***

Entry 4:
A relaxed structure of KMnGe2H, computed with PBE-GGA.

Cell and atoms, written as extended XYZ:
```
5
Lattice="4.509 0.000 0.000 0.000 4.509 0.000 0.000 0.000 6.132" Properties=species:S:1:pos:R:3 pbc="T T T"
K 0.000 0.000 0.000
Mn 0.000 0.000 3.066
Ge 0.000 2.254 3.066
Ge 2.254 0.000 3.066
H 2.254 2.254 0.000
```

Computed properties:
Space group   No. 123
Density of states at the Fermi level   0.275 states/eV per atom
Total DFT energy (no corrections)   -20.30 eV/f.u.

***

Entry 5:
A relaxed structure of KGeMoH2, computed with PBE-GGA.

Cell and atoms, written as extended XYZ:
```
5
Lattice="3.807 0.000 0.000 0.000 3.807 0.000 0.000 0.000 6.901" Properties=species:S:1:pos:R:3 pbc="T T T"
K 0.000 0.000 0.000
Ge 0.000 0.000 3.450
Mo 1.903 1.903 3.450
H 0.000 1.903 0.000
H 1.903 0.000 0.000
```

Computed properties:
Space group   No. 123
Density of states at the Fermi level   0.240 states/eV per atom
Total DFT energy (no corrections)   -16.38 eV/f.u.

***

Entry 6:
A relaxed structure of K4GeH4N2O3, computed with PBE-GGA.

Cell and atoms, written as extended XYZ:
```
56
Lattice="11.060 0.000 0.000 0.000 6.575 0.000 -3.324 0.000 11.897" Properties=species:S:1:pos:R:3 pbc="T T T"
K -0.997 0.800 4.206
K -2.659 2.488 10.154
K 1.121 0.652 1.345
K -0.541 2.635 7.293
K 2.740 4.029 2.072
K 1.078 5.833 8.021
K 2.556 1.268 4.726
K 0.894 2.019 10.674
K 6.843 4.555 1.222
K 5.181 5.307 7.171
K 6.658 0.742 3.876
K 4.996 2.545 9.824
K 8.277 3.939 4.604
K 6.615 5.922 10.552
K 10.395 4.087 1.743
K 8.733 5.775 7.691
Ge 0.855 4.573 4.759
Ge -0.807 5.289 10.708
Ge 8.543 1.285 1.189
Ge 6.881 2.002 7.137
H 2.470 3.623 6.394
H 4.132 6.238 0.446
H 4.087 0.578 2.274
H 2.425 2.709 8.222
H 3.268 4.496 5.259
H 1.606 5.366 11.208
H 3.043 1.251 7.969
H 4.705 2.036 2.020
H 3.032 4.538 9.876
H 4.694 5.324 3.928
H 6.130 1.208 0.689
H 4.468 2.079 6.637
H 5.311 3.865 3.674
H 3.649 5.996 9.623
H 3.605 0.336 11.451
H 5.267 2.951 5.502
N 2.449 4.523 5.882
N 0.787 5.339 11.831
N 3.837 1.496 1.874
N 2.175 1.792 7.822
N 5.561 4.783 4.074
N 3.899 5.079 10.022
N 6.949 1.236 0.066
N 5.287 2.051 6.014
O -2.137 4.829 11.792
O -0.475 5.033 5.844
O -1.051 0.303 9.951
O 0.611 2.985 4.003
O -0.438 4.056 9.493
O 1.224 5.806 3.545
O 6.512 0.769 8.352
O 8.174 2.519 2.404
O 7.125 3.590 7.894
O 8.787 6.272 1.946
O 8.211 1.542 6.053
O 9.873 1.745 0.105
```

Computed properties:
Space group   No. 14
Density of states at the Fermi level   0.000 states/eV per atom
Total DFT energy (no corrections)   -67.91 eV/f.u.